Entry from the Alexandria database: crystalline Cr2C4O at its relaxed geometry (PBE with a Hubbard U).

Calculated values
Raw total energy in eV per cell: -40.32

Cell and atoms, written as CIF:
```
data_Cr2C4O
_space_group_name_H-M_alt 'P 1'
_space_group_IT_number 1
_space_group_name_Hall 'P 1'
_cell_length_a 4.1269
_cell_length_b 4.1269
_cell_length_c 5.4240
_cell_angle_alpha 67.64
_cell_angle_beta 67.64
_cell_angle_gamma 90.00
loop_
_atom_site_label
_atom_site_type_symbol
_atom_site_fract_x
_atom_site_fract_y
_atom_site_fract_z
Cr1 Cr 0.6357 0.6357 0.7287
Cr2 Cr 0.3643 0.3643 0.2713
C1 C 0.8565 0.8565 0.2871
C2 C 0.1435 0.1435 0.7129
C3 C 0.0000 0.5000 0.0000
C4 C 0.5000 0.0000 0.0000
O1 O 0.0000 0.0000 0.0000
```